The following is a DFT calculation (SCAN) of a crystal of KIn2Hg relaxed with PBEsol.

Properties
Energy relative to the elements, kJ per mole of atoms: -7

Geometry as extended XYZ:
```
4
Lattice="-1.8991 -3.0094 2.9290 1.6850 -3.4905 -2.4938 4.2939 0.0483 2.8336" Properties=species:S:1:pos:R:3 pbc="T T T"
In 0.8425 -1.7453 -1.2469
In -0.9495 -1.5047 1.4645
K 2.0399 -3.2258 1.6344
Hg 2.1470 0.0241 1.4168
```